A geometry-optimized CrAg3Pd structure. Source: Alexandria via LeMat-Bulk, functional PBE.

Computed properties:
N(E_F): 1.9 states/eV/cell
total moment: 0.962 μB/atom
excess energy over the best structure of this formula in the dataset: 0 meV/atom

Structure (CIF):
```
data_CrAg3Pd
_chemical_formula_sum 'Cr1 Ag3 Pd1'
_cell_length_a 5.0214
_cell_length_b 5.0214
_cell_length_c 5.0214
_cell_angle_alpha 90.00
_cell_angle_beta 90.00
_cell_angle_gamma 90.00
_symmetry_space_group_name_H-M 'P m -3 m'
_symmetry_Int_Tables_number 221
_symmetry_space_group_name_Hall '-P 4 2 3'
loop_
_atom_site_label
_atom_site_type_symbol
_atom_site_fract_x
_atom_site_fract_y
_atom_site_fract_z
_atom_site_occupancy
Cr1 Cr 0.0000 0.0000 0.0000 1
Ag1 Ag 0.0000 0.5000 0.5000 1
Pd1 Pd 0.5000 0.5000 0.5000 1
```

---

A geometry-optimized AcNi4Ge12 structure. Source: Alexandria via LeMat-Bulk, functional PBE.

Computed properties:
N(E_F): 18.6 states/eV/cell
total moment: 0.000 μB/atom

Structure (CIF):
```
data_AcNi4Ge12
_chemical_formula_sum 'Ac2 Ni8 Ge24'
_cell_length_a 8.4868
_cell_length_b 8.4868
_cell_length_c 8.4868
_cell_angle_alpha 90.00
_cell_angle_beta 90.00
_cell_angle_gamma 90.00
_symmetry_space_group_name_H-M 'I m -3'
_symmetry_Int_Tables_number 204
_symmetry_space_group_name_Hall '-I 2 2 3'
loop_
_atom_site_label
_atom_site_type_symbol
_atom_site_fract_x
_atom_site_fract_y
_atom_site_fract_z
_atom_site_occupancy
Ac1 Ac 0.0000 0.0000 0.0000 1
Ni1 Ni 0.2500 0.2500 0.2500 1
Ge1 Ge 0.0000 0.3509 0.1644 1
```

---

Raw total energy values (in hartree per atom) by entry order: -0.1354, -0.1867.